First-principles (PBE) data for a geometry-optimized PuCu2HO6 structure, as listed in the Alexandria database.

The structure in POSCAR format:
```
PuCu2HO6
1.0
-4.993 2.249 2.336
2.465 -3.750 2.791
6.129 2.516 0.051
Pu Cu H O
1 2 1 6
Direct
0.954 0.946 0.936 Pu
0.536 0.734 0.367 Cu
0.350 0.164 0.497 Cu
0.456 0.953 0.908 H
0.522 0.981 0.790 O
0.361 0.910 0.072 O
0.000 0.807 0.241 O
0.246 0.346 0.194 O
0.647 0.551 0.672 O
0.894 0.086 0.625 O
```

Properties
Raw total energy, eV/atom: -6.871
M_tot, μB/cell: 2.897
DOS(E_F), states/eV per cell: 2.95


First-principles (PBE) data for a geometry-optimized Sm2ScPb9 structure, as listed in the Alexandria database.

The structure in POSCAR format:
```
Sm2ScPb9
1.0
4.891 0.000 0.000
0.000 4.891 0.000
0.000 0.000 14.544
Sm Sc Pb
2 1 9
Direct
0.000 0.000 0.332 Sm
0.000 0.000 0.668 Sm
0.000 0.000 0.000 Sc
0.500 0.500 0.000 Pb
0.500 0.500 0.330 Pb
0.500 0.500 0.670 Pb
0.500 0.000 0.160 Pb
0.500 0.000 0.500 Pb
0.500 0.000 0.840 Pb
0.000 0.500 0.160 Pb
0.000 0.500 0.500 Pb
0.000 0.500 0.840 Pb
```

Properties
M_tot, μB/cell: 0.000
Energy relative to the elements, eV per atom: -0.270
DOS(E_F), states/eV per cell: 6.87


First-principles (PBE) data for a geometry-optimized Pr6ZnHg2 structure, as listed in the Alexandria database.

The structure in POSCAR format:
```
Pr6ZnHg2
1.0
-4.404 -0.737 -4.882
-5.276 -4.133 5.384
-4.985 8.573 1.697
Pr Zn Hg
12 2 4
Direct
0.848 0.939 0.231 Pr
0.856 0.659 0.545 Pr
0.883 0.710 0.934 Pr
0.617 0.210 0.566 Pr
0.644 0.159 0.955 Pr
0.652 0.439 0.269 Pr
0.152 0.061 0.769 Pr
0.144 0.341 0.455 Pr
0.117 0.290 0.066 Pr
0.383 0.790 0.434 Pr
0.356 0.841 0.045 Pr
0.348 0.561 0.731 Pr
0.500 0.500 0.000 Zn
0.000 0.000 0.500 Zn
0.908 0.390 0.767 Hg
0.592 0.890 0.733 Hg
0.408 0.110 0.267 Hg
0.092 0.610 0.233 Hg
```

Properties
M_tot, μB/cell: 0.000
Energy relative to the elements, eV per atom: -0.184
DOS(E_F), states/eV per cell: 21.24


First-principles (PBE) data for a geometry-optimized Ta2BeB2 structure, as listed in the Alexandria database.

The structure in POSCAR format:
```
Ta2BeB2
1.0
4.591 0.000 0.000
0.000 5.652 0.000
-2.295 -2.826 4.449
Ta Be B
4 2 4
Direct
0.861 0.702 0.721 Ta
0.139 0.298 0.279 Ta
0.639 0.981 0.279 Ta
0.361 0.019 0.721 Ta
0.750 0.500 0.000 Be
0.250 0.500 0.000 Be
0.389 0.633 0.777 B
0.611 0.367 0.223 B
0.111 0.856 0.223 B
0.889 0.144 0.777 B
```

Properties
M_tot, μB/cell: 0.000
ΔE to the lowest computed polymorph, eV/atom: 0.332
Energy relative to the elements, eV per atom: -0.314
DOS(E_F), states/eV per cell: 1.96


First-principles (PBE) data for a geometry-optimized Dy3Ho2TmAs6 structure, as listed in the Alexandria database.

The structure in POSCAR format:
```
Dy3Ho2TmAs6
1.0
4.103 0.000 0.000
0.000 8.199 0.295
-2.052 -2.359 8.624
Dy Ho Tm As
3 2 1 6
Direct
0.500 0.500 0.000 Dy
0.833 0.167 0.666 Dy
0.167 0.833 0.334 Dy
0.834 0.667 0.667 Ho
0.166 0.333 0.333 Ho
0.500 0.000 0.000 Tm
0.334 0.916 0.669 As
0.667 0.583 0.334 As
0.666 0.084 0.331 As
0.000 0.248 0.000 As
0.000 0.752 0.000 As
0.333 0.417 0.666 As
```

Properties
M_tot, μB/cell: 0.000
Energy relative to the elements, eV per atom: -1.528
DOS(E_F), states/eV per cell: 1.85


First-principles (PBE) data for a geometry-optimized DyTmMnCd structure, as listed in the Alexandria database.

The structure in POSCAR format:
```
DyTmMnCd
1.0
-0.990 -0.388 5.014
3.269 -2.477 3.073
2.826 2.619 3.380
Cd Tm Mn Dy
1 1 1 1
Direct
0.250 0.250 0.250 Cd
0.000 0.000 0.000 Tm
0.750 0.750 0.750 Mn
0.500 0.500 0.500 Dy
```

Properties
M_tot, μB/cell: 3.076
Energy relative to the elements, eV per atom: -0.015
DOS(E_F), states/eV per cell: 5.71


First-principles (PBE) data for a geometry-optimized Cs3La3PuO8 structure, as listed in the Alexandria database.

The structure in POSCAR format:
```
Cs3La3PuO8
1.0
-2.477 -0.489 -6.981
-4.498 -1.681 5.661
1.695 7.955 -1.159
Cs La Pu O
3 3 1 8
Direct
0.000 0.000 0.000 Cs
0.000 0.500 0.000 Cs
0.500 0.500 0.000 Cs
0.500 0.000 0.500 La
0.500 0.500 0.500 La
0.000 0.500 0.500 La
0.000 0.000 0.500 Pu
0.279 0.558 0.337 O
0.721 0.442 0.663 O
0.793 0.587 0.343 O
0.207 0.413 0.657 O
0.793 0.049 0.343 O
0.207 0.951 0.657 O
0.256 0.049 0.343 O
0.744 0.951 0.657 O
```

Properties
Formation energy from raw total energies, meV per atom: -2691
M_tot, μB/cell: 4.000
DOS(E_F), states/eV per cell: 4.42


First-principles (PBE) data for a geometry-optimized Sc2FeSb structure, as listed in the Alexandria database.

The structure in POSCAR format:
```
Sc2FeSb
1.0
-2.292 -5.194 0.400
-0.500 -4.606 3.305
-3.887 -0.117 2.422
Fe Sb Sc
1 1 2
Direct
0.504 0.504 0.496 Fe
0.215 0.215 0.286 Sb
0.999 0.999 0.001 Sc
0.782 0.782 0.718 Sc
```

Properties
Formation energy from raw total energies, meV per atom: -315
M_tot, μB/cell: 1.010
DOS(E_F), states/eV per cell: 3.81


First-principles (PBE) data for a geometry-optimized Hf2AsAu2 structure, as listed in the Alexandria database.

The structure in POSCAR format:
```
Hf2AsAu2
1.0
-6.631 1.189 2.677
2.088 -2.725 6.384
1.089 3.506 1.141
Hf As Au
4 2 4
Direct
0.166 0.666 0.500 Hf
0.666 0.834 0.500 Hf
0.834 0.334 0.500 Hf
0.334 0.166 0.500 Hf
0.000 0.000 0.000 As
0.500 0.500 0.000 As
0.366 0.866 0.000 Au
0.866 0.634 0.000 Au
0.634 0.134 0.000 Au
0.134 0.366 0.000 Au
```

Properties
M_tot, μB/cell: 0.000
ΔE to the lowest computed polymorph, eV/atom: 0.188
Energy relative to the elements, eV per atom: -0.290
DOS(E_F), states/eV per cell: 5.89


First-principles (PBE) data for a geometry-optimized ReMoPt2 structure, as listed in the Alexandria database.

The structure in POSCAR format:
```
ReMoPt2
1.0
2.715 0.000 0.000
0.000 4.024 0.000
0.000 0.000 5.626
Mo Pt Re
1 2 1
Direct
0.500 0.500 0.751 Mo
0.000 0.000 0.995 Pt
0.500 0.500 0.258 Pt
0.000 0.000 0.496 Re
```

Properties
M_tot, μB/cell: 0.000
ΔE to the lowest computed polymorph, eV/atom: 0.000
Energy relative to the elements, eV per atom: -0.154
DOS(E_F), states/eV per cell: 3.05


First-principles (PBE) data for a geometry-optimized ReC structure, as listed in the Alexandria database.

The structure in POSCAR format:
```
ReC
1.0
-0.556 2.445 1.856
-2.176 -2.204 -0.371
2.903 -3.871 5.967
Re C
2 2
Direct
0.000 0.000 0.485 Re
0.667 0.333 0.765 Re
0.000 0.000 0.871 C
0.667 0.333 0.379 C
```

Properties
M_tot, μB/cell: 0.000
ΔE to the lowest computed polymorph, eV/atom: 0.668
Energy relative to the elements, eV per atom: 0.908
DOS(E_F), states/eV per cell: 0.69


First-principles (PBE) data for a geometry-optimized BeTeRu2 structure, as listed in the Alexandria database.

The structure in POSCAR format:
```
BeTeRu2
1.0
-2.892 2.447 -2.557
-4.317 -0.094 -1.496
-2.543 2.671 2.983
Ru Te Be
2 1 1
Direct
0.980 0.980 0.114 Ru
0.751 0.751 0.741 Ru
0.508 0.508 0.535 Te
0.262 0.262 0.110 Be
```

Properties
Formation energy from raw total energies, meV per atom: 146
M_tot, μB/cell: 0.000
ΔE to the lowest computed polymorph, eV/atom: 0.114
DOS(E_F), states/eV per cell: 2.40